10
Lattice="8.277 0.476 0.675 4.080 4.590 -0.275 0.283 -0.904 4.056" Properties=species:S:1:pos:R:3 comment="NiNF3 | Alexandria via LeMat-Bulk | GGA+U | optimized geometry" polymorph_energy_mev_per_atom=0 density_g_cm3=3.06 total_magnetization_mub_per_cell=4.00 pbc="T T T"
N 10.739 3.791 1.123
N 6.186 1.873 3.720
F 7.652 2.576 1.510
F 1.562 -0.185 3.314
F 11.667 4.076 2.034
F 3.006 0.783 1.129
F 9.274 3.088 3.333
F 5.259 1.588 2.809
Ni 9.593 2.239 1.600
Ni 7.333 3.425 3.243